Material: CdP2O6
Method: DFT, GGA-PBE
State: relaxed

Geometry as POSCAR:
```
CdP2O6
1.0
-0.6217 -7.4606 -1.7159
0.0546 -4.2314 6.4097
-9.4633 -4.1670 2.4436
O Cd P
24 4 8
Direct
0.8170 0.0926 0.9217
0.2581 0.4944 0.5546
0.7170 0.1983 0.4190
0.9074 0.1830 0.5783
0.4944 0.2581 0.0546
0.7929 0.6447 0.1714
0.1983 0.7170 0.9190
0.1830 0.9074 0.0783
0.1392 0.2792 0.1737
0.8017 0.2830 0.0810
0.4590 0.7141 0.3446
0.7419 0.5056 0.4454
0.2830 0.8017 0.5810
0.6447 0.7929 0.6714
0.7208 0.8608 0.3263
0.3553 0.2071 0.3286
0.5410 0.2859 0.6554
0.2859 0.5410 0.1554
0.8608 0.7208 0.8263
0.0926 0.8170 0.4217
0.2792 0.1392 0.6737
0.2071 0.3553 0.8286
0.7141 0.4590 0.8446
0.5056 0.7419 0.9454
0.9650 0.0350 0.2500
0.0350 0.9650 0.7500
0.5000 0.0000 0.5000
0.0000 0.5000 0.0000
0.2777 0.7390 0.0208
0.3099 0.3144 0.6887
0.7223 0.2610 0.9792
0.3144 0.3099 0.1887
0.6901 0.6856 0.3113
0.2610 0.7223 0.4792
0.7390 0.2777 0.5208
0.6856 0.6901 0.8113
```

The value obtained for the formation energy from raw total energies is -1.97 eV/atom. As for the space group: No. 15. Its total energy is -6.583 eV per atom. For the density of states at the Fermi level, the calculation gives 0.0000 states/eV per atom. The calculation puts the magnetization at 0.000 μB/atom.

=====

Material: Ba14NaPd
Method: DFT, GGA-PBE
State: relaxed

Geometry as POSCAR:
```
Ba14NaPd
1.0
8.8230 -0.0111 0.0000
-2.4717 8.4697 0.0000
0.0000 0.0000 12.4895
Ba Pd Na
14 1 1
Direct
0.5885 0.4115 0.0000
0.6273 0.9327 0.0000
0.5935 0.8535 0.5000
0.4296 0.1745 0.3110
0.8949 0.1051 0.2819
0.8255 0.5704 0.3110
0.0673 0.3727 0.0000
0.8949 0.1051 0.7181
0.8255 0.5704 0.6890
0.3464 0.6536 0.7703
0.1109 0.8891 0.0000
0.1465 0.4065 0.5000
0.3464 0.6536 0.2297
0.4296 0.1745 0.6890
0.7485 0.2515 0.5000
0.1248 0.8752 0.5000
```

The calculation puts the formation energy at -20 kJ/mol of formula units. As for the space group: No. 38. Its total energy is -2.102 eV per atom. For the density of states at the Fermi level, the calculation gives 1.4115 states/eV per atom. The calculation puts the magnetization at 0.000 μB/atom.

=====

Material: Ac2H3
Method: DFT, GGA-PBE
State: relaxed

Geometry as POSCAR:
```
Ac2H3
1.0
-4.0621 4.6953 -2.1263
-4.5818 -1.4076 -4.4826
-6.2947 -0.1062 1.6634
Ac H
4 6
Direct
0.6359 0.6359 0.0922
0.3641 0.3641 0.9078
0.1359 0.1359 0.5922
0.8641 0.8641 0.4078
0.4749 0.0251 0.7500
0.0251 0.7500 0.7500
0.5251 0.9749 0.2500
0.9749 0.2500 0.2500
0.7500 0.4749 0.7500
0.2500 0.5251 0.2500
```

As for the space group: No. 167. Its total energy is -4.005 eV per atom. For the density of states at the Fermi level, the calculation gives 0.7706 states/eV per atom. The calculation puts the magnetization at 0.000 μB/atom.

=====

Material: CsAg2As
Method: DFT, GGA-PBE
State: relaxed

Geometry as POSCAR:
```
CsAg2As
1.0
-0.9628 3.4892 -3.0677
1.8272 -0.1183 -4.3772
-4.9074 -2.1392 -4.5623
Ag Cs As
2 1 1
Direct
0.6855 0.6855 0.9436
0.3145 0.3145 0.0564
0.5000 0.5000 0.5000
0.0000 0.0000 0.0000
```

The calculation puts the formation energy at -42 kJ/mol of formula units. As for the space group: No. 166. Its total energy is -2.909 eV per atom. For the density of states at the Fermi level, the calculation gives 0.2305 states/eV per atom. The calculation puts the magnetization at 0.000 μB/atom.

=====

Material: Ca2SbRh
Method: DFT, GGA-PBE
State: relaxed

Geometry as POSCAR:
```
Ca2SbRh
1.0
4.6863 0.0000 0.0000
0.0000 4.6863 0.0000
0.0000 0.0000 4.2422
Ca Rh Sb
2 1 1
Direct
0.5000 0.5000 0.0000
0.0000 0.0000 0.0000
0.5000 0.0000 0.5000
0.0000 0.5000 0.5000
```

The value obtained for the formation energy from raw total energies is -0.56 eV/atom. As for the space group: No. 123. Its total energy is -4.431 eV per atom. For the density of states at the Fermi level, the calculation gives 0.2756 states/eV per atom. The calculation puts the magnetization at 0.000 μB/atom.

=====

Material: Ba6HPt2Br3
Method: DFT, GGA-PBE
State: relaxed

Geometry as POSCAR:
```
Ba6HPt2Br3
1.0
7.7613 -0.0009 -0.0012
-3.8795 6.7221 -0.0012
-1.2957 -2.2435 8.3539
Br Pt Ba H
3 2 6 1
Direct
0.5000 0.5000 0.5000
0.8317 0.1683 0.5000
0.1683 0.8317 0.5000
0.6664 0.3336 0.0000
0.3336 0.6664 0.0000
0.7392 0.7392 0.2112
0.2608 0.2608 0.7888
0.5987 0.9298 0.7895
0.9298 0.5987 0.7895
0.4013 0.0702 0.2105
0.0702 0.4013 0.2105
0.0000 0.0000 0.0000
```

As for the space group: No. 12. Its total energy is -3.842 eV per atom. For the density of states at the Fermi level, the calculation gives 0.7163 states/eV per atom. The calculation puts the magnetization at 0.000 μB/atom.

=====

Material: LiGdFe4
Method: DFT, GGA-PBE
State: relaxed

Geometry as POSCAR:
```
LiGdFe4
1.0
4.9946 0.0000 0.0000
2.4973 4.3255 0.0000
2.4973 1.4418 4.0781
Fe Gd Li
4 1 1
Direct
0.6246 0.6246 0.1262
0.1262 0.6246 0.6246
0.6246 0.6246 0.6246
0.6246 0.1262 0.6246
0.0000 0.0000 0.0000
0.2500 0.2500 0.2500
```

The calculation puts the formation energy at 76 kJ/mol of formula units. As for the space group: No. 216. Its total energy is -8.176 eV per atom. For the density of states at the Fermi level, the calculation gives 1.0798 states/eV per atom. The calculation puts the magnetization at 2.489 μB/atom.

=====

Material: CePr7Tm4
Method: DFT, GGA-PBE
State: relaxed

Geometry as POSCAR:
```
CePr7Tm4
1.0
5.4068 -1.4578 2.3355
0.5053 6.4736 2.8700
1.5080 -1.4133 11.6799
Pr Tm Ce
7 4 1
Direct
0.1301 0.1865 0.6271
0.5000 0.0000 0.0000
0.8699 0.8135 0.3729
0.8258 0.5361 0.9278
0.1742 0.4639 0.0722
0.1556 0.7113 0.5770
0.8444 0.2887 0.4230
0.4855 0.1291 0.2725
0.5145 0.8709 0.7275
0.4859 0.5982 0.2722
0.5141 0.4018 0.7278
0.0000 0.0000 0.0000
```

The calculation puts the formation energy at 162 kJ/mol of formula units. As for the space group: No. 2. Its total energy is -4.633 eV per atom. For the density of states at the Fermi level, the calculation gives 2.0069 states/eV per atom. The calculation puts the magnetization at 0.111 μB/atom.

=====

Material: Nd3SmBi3
Method: DFT, GGA-PBE
State: relaxed

Geometry as POSCAR:
```
Nd3SmBi3
1.0
9.4205 0.0000 0.0000
4.7103 8.1584 0.0000
4.7103 2.7195 6.4429
Bi Nd Sm
6 6 2
Direct
0.5301 0.9224 0.2431
0.4699 0.0776 0.7569
0.3044 0.5301 0.2431
0.0776 0.6956 0.7569
0.9224 0.3044 0.2431
0.6956 0.4699 0.7569
0.3455 0.8212 0.7445
0.0888 0.3455 0.7445
0.6545 0.1788 0.2555
0.1788 0.9112 0.2555
0.8212 0.0888 0.7445
0.9112 0.6545 0.2555
0.3331 0.3331 0.0007
0.6669 0.6669 0.9993
```

The calculation puts the formation energy at -494 kJ/mol of formula units. As for the space group: No. 148. Its total energy is -5.112 eV per atom. For the density of states at the Fermi level, the calculation gives 0.6531 states/eV per atom. The calculation puts the magnetization at 0.000 μB/atom.

=====

Material: Mn4BePb
Method: DFT, GGA-PBE
State: relaxed

Geometry as POSCAR:
```
Mn4BePb
1.0
0.0000 3.4192 3.4192
3.4192 0.0000 3.4192
3.4192 3.4192 0.0000
Mn Be Pb
4 1 1
Direct
0.6266 0.1201 0.6266
0.6266 0.6266 0.1201
0.6266 0.6266 0.6266
0.1201 0.6266 0.6266
0.0000 0.0000 0.0000
0.2500 0.2500 0.2500
```

The calculation puts the formation energy at 330 kJ/mol of formula units. As for the space group: No. 216. Its total energy is -6.781 eV per atom. For the density of states at the Fermi level, the calculation gives 1.1608 states/eV per atom. The calculation puts the magnetization at 0.802 μB/atom.

=====

Material: La2CeHoN4
Method: DFT, GGA-PBE
State: relaxed

Geometry as POSCAR:
```
La2CeHoN4
1.0
3.6167 0.0000 0.0000
0.0000 6.2278 0.1107
0.0000 -2.1760 5.9173
N Ho Ce La
4 1 1 2
Direct
0.5000 0.2422 0.2268
0.5000 0.7578 0.7732
0.0000 0.2545 0.7706
0.0000 0.7455 0.2294
0.5000 0.5000 0.0000
0.0000 0.0000 0.0000
0.5000 0.0000 0.5000
0.0000 0.5000 0.5000
```

The value obtained for the formation energy from raw total energies is -1.46 eV/atom. As for the space group: No. 10. Its total energy is -8.169 eV per atom. For the density of states at the Fermi level, the calculation gives 0.3712 states/eV per atom. The calculation puts the magnetization at 0.000 μB/atom.

=====

Material: Pa4GaRh12
Method: DFT, GGA-PBE
State: relaxed

Geometry as POSCAR:
```
Pa4GaRh12
1.0
6.7854 0.0000 -2.3990
-3.3927 5.8763 -2.3990
0.0000 0.0000 7.1970
Rh Pa Ga
12 4 1
Direct
0.2849 0.2849 0.0000
0.2849 0.0000 0.2849
0.2500 0.5000 0.7500
0.7500 0.5000 0.2500
0.5000 0.2500 0.7500
0.5000 0.7500 0.2500
0.7151 0.0000 0.7151
0.0000 0.2849 0.2849
0.2500 0.7500 0.5000
0.7151 0.7151 0.0000
0.7500 0.2500 0.5000
0.0000 0.7151 0.7151
0.5000 0.0000 0.0000
0.0000 0.0000 0.5000
0.0000 0.5000 0.0000
0.5000 0.5000 0.5000
0.0000 0.0000 0.0000
```

The calculation puts the formation energy at -1328 kJ/mol of formula units. As for the space group: No. 229. Its total energy is -8.411 eV per atom. For the density of states at the Fermi level, the calculation gives 0.9082 states/eV per atom. The calculation puts the magnetization at 0.000 μB/atom.